{
  "formula": "AsPd",
  "functional": "PBE",
  "state": "relaxed",
  "mass_density_g_cm3": 7.49,
  "ef_ev_per_atom": -0.04,
  "crystal_system": "orthorhombic",
  "magnetic_moment_mub_per_atom": 0.00,
  "final_energy_ev_per_fu": -9.93,
  "lattice": [[-3.6803, 5.7057, 0.3482], [-5.9005, -3.2633, -8.8920], [-5.5395, -3.8845, 5.1014]],
  "species": ["Pd", "Pd", "Pd", "Pd", "Pd", "Pd", "Pd", "Pd", "Pd", "Pd", "Pd", "Pd", "Pd", "Pd", "Pd", "Pd", "As", "As", "As", "As", "As", "As", "As", "As", "As", "As", "As", "As", "As", "As", "As", "As"],
  "frac_coords": [[0.7500, 0.3806, 0.7500], [0.0000, 0.8694, 0.5000], [0.5000, 0.8694, 0.0000], [0.7500, 0.1194, 0.7500], [0.5000, 0.1306, 0.0000], [0.2500, 0.3806, 0.2500], [0.7500, 0.6194, 0.2500], [0.0000, 0.1306, 0.5000], [0.2500, 0.6194, 0.7500], [0.2500, 0.8806, 0.7500], [0.0000, 0.6306, 0.0000], [0.7500, 0.8806, 0.2500], [0.2500, 0.1194, 0.2500], [0.0000, 0.3694, 0.0000], [0.5000, 0.6306, 0.5000], [0.5000, 0.3694, 0.5000], [0.1962, 0.0000, 0.0000], [0.5538, 0.2500, 0.2500], [0.3038, 0.0000, 0.5000], [0.8038, 0.5000, 0.5000], [0.5538, 0.7500, 0.7500], [0.0538, 0.2500, 0.7500], [0.6962, 0.0000, 0.5000], [0.9462, 0.2500, 0.2500], [0.4462, 0.2500, 0.7500], [0.1962, 0.5000, 0.5000], [0.8038, 0.0000, 0.0000], [0.9462, 0.7500, 0.7500], [0.6962, 0.5000, 0.0000], [0.3038, 0.5000, 0.0000], [0.0538, 0.7500, 0.2500], [0.4462, 0.7500, 0.2500]]
}